[1]
A geometry-optimized Cs2TeSeI6 structure. Source: Alexandria, functional GGA-PBE.

Computed properties:
Space group: I4/mmm
Crystal system: tetragonal
Energy relative to the elements, uncorrected, meV per atom: -657

abc: 8.5765 8.5765 8.5765
angles: 119.25 119.25 91.31
With the nearest neighbours (Å) after each atom.
Fractional coordinates of all 10 atoms:
Cs  0.2500  0.7500  0.5000  12 I 4.29-4.34
Cs  0.7500  0.2500  0.5000  12 I 4.29-4.34
Te  0.0000  0.0000  0.0000  6 I 3.06-3.09
Se  0.5000  0.5000  0.0000  6 I 2.93-3.05
I  0.2516  0.2516  0.5032  1 Se 3.05, 1 Te 3.09
I  0.2516  0.7484  0.0000  1 Se 3.05, 1 Te 3.09
I  0.2553  0.2553  0.0000  1 Se 2.93, 1 Te 3.06
I  0.7447  0.7447  0.0000  1 Se 2.93, 1 Te 3.06
I  0.7484  0.2516  0.0000  1 Se 3.05, 1 Te 3.09
I  0.7484  0.7484  0.4968  1 Se 3.05, 1 Te 3.09


[2]
A geometry-optimized Fe3NiMo structure. Source: Alexandria, functional GGA-PBE.

Computed properties:
Space group: Pm-3m
Formation enthalpy at 0 K, eV per atom: 1.6642
Crystal system: cubic

abc: 4.3888 4.3888 4.3888
angles: 90.00 90.00 90.00
With the nearest neighbours (Å) after each atom.
Fractional coordinates of all 5 atoms:
Fe  0.0000  0.0000  0.5000  2 Mo 2.19
Fe  0.0000  0.5000  0.0000  2 Mo 2.19
Fe  0.5000  0.0000  0.0000  2 Mo 2.19
Ni  0.5000  0.5000  0.5000  12 Fe 3.10
Mo  0.0000  0.0000  0.0000  6 Fe 2.19


[3]
A geometry-optimized Nd3PaN4 structure. Source: Alexandria, functional GGA-PBE.

Computed properties:
Space group: Pmn2_1
Crystal system: orthorhombic
Offset from the most stable computed form, meV per atom: 136
Energy relative to the elements, uncorrected, meV per atom: -1352

abc: 8.4582 7.0763 5.1693
angles: 90.00 90.00 90.00
With the nearest neighbours (Å) after each atom.
Fractional coordinates of all 16 atoms:
Nd  0.0000  0.1703  0.0000  5 N 2.40-2.59
Nd  0.2454  0.3325  0.5000  5 N 2.45-2.59
Nd  0.2546  0.6675  0.0000  5 N 2.45-2.59
Nd  0.5000  0.8297  0.5000  5 N 2.40-2.59
Nd  0.7454  0.6675  0.0000  5 N 2.45-2.59
Nd  0.7546  0.3325  0.5000  5 N 2.45-2.59
Pa  0.0000  0.8219  0.4995  3 N 2.19-2.24
Pa  0.5000  0.1781  0.9995  3 N 2.19-2.24
N  0.0000  0.1391  0.4999  1 Pa 2.24, 2 Nd 2.49
N  0.0000  0.8314  0.0020  3 Nd 2.40-2.45, 2 Pa 2.57-2.60
N  0.2328  0.6854  0.4999  1 Pa 2.19
N  0.2672  0.3146  0.9999  1 Pa 2.19
N  0.5000  0.1686  0.5020  3 Nd 2.40-2.45, 2 Pa 2.57-2.60
N  0.5000  0.8609  0.9999  1 Pa 2.24, 2 Nd 2.49
N  0.7328  0.3146  0.9999  1 Pa 2.19
N  0.7672  0.6854  0.4999  1 Pa 2.19


no.,calculated density (g/cm3),E_tot (Ry per atom)
1,4.54,-0.1779
2,6.33,-0.4951
3,7.73,-0.6240